DyY6Al | GGA-PBE | optimized geometry

M_tot ... 0.0 Bohr magnetons per cell
Total DFT energy (no corrections) ... -46.907 eV/f.u.
V ... 246.3 Å³ per cell
E_form ... 0.028 eV per atom

a = 9.232 Å, b = 8.542 Å, c = 6.289 Å
α = 47.21°, β = 42.78°, γ = 57.28°
Fractional positions:
Dy (0.500, 0.500, 0.500)
Y (0.038, 0.442, 0.758)
Y (0.762, 0.962, 0.718)
Y (0.558, 0.238, 0.167)
Y (0.238, 0.038, 0.282)
Y (0.962, 0.558, 0.242)
Y (0.442, 0.762, 0.833)
Al (0.000, 0.000, 0.000)